{"formula": "PmDy3Tl3", "functional": "PBE", "state": "relaxed", "lattice_angstrom": [[5.2338, 0.0000, 0.0000], [0.0000, 9.4841, 0.0000], [0.0000, -4.7420, 8.2135]], "species": ["Pm", "Tl", "Dy", "Dy", "Tl", "Tl", "Pm", "Dy", "Tl", "Dy", "Dy", "Tl", "Tl", "Dy"], "fractional_positions": [[0.7500, 0.3333, 0.6667], [0.2500, 0.0708, 0.6224], [0.2500, 0.0002, 0.2330], [0.2500, 0.7670, 0.7672], [0.7500, 0.9292, 0.3776], [0.2500, 0.5516, 0.9292], [0.2500, 0.6667, 0.3333], [0.2500, 0.2328, 0.9998], [0.2500, 0.3776, 0.4484], [0.7500, 0.2330, 0.2328], [0.7500, 0.9998, 0.7670], [0.7500, 0.4484, 0.0708], [0.7500, 0.6224, 0.5516], [0.7500, 0.7672, 0.0002]], "e_form_mev_per_atom": -248, "relative_energy_mev_per_atom": 8.0, "spacegroup": "No. 176"}

{"formula": "Rb3PrCl6", "functional": "PBE", "state": "relaxed", "lattice_angstrom": [[8.3081, 0.0000, 0.0000], [4.1541, 7.1951, 0.0000], [4.1541, 2.3984, 6.7836]], "species": ["Cl", "Pr", "Cl", "Cl", "Cl", "Cl", "Rb", "Rb", "Cl", "Rb"], "fractional_positions": [[0.2341, 0.7659, 0.7659], [0.0000, 0.0000, 0.0000], [0.7659, 0.7659, 0.2341], [0.7659, 0.2341, 0.2341], [0.2341, 0.7659, 0.2341], [0.7659, 0.2341, 0.7659], [0.2500, 0.2500, 0.2500], [0.5000, 0.5000, 0.5000], [0.2341, 0.2341, 0.7659], [0.7500, 0.7500, 0.7500]], "formation_energy_uncorrected_kj_per_mol_fu": -1980, "spacegroup": "No. 225"}

{"formula": "Mg2ZrHg", "functional": "PBE", "state": "relaxed", "lattice_angstrom": [[4.7565, 0.0000, 0.0000], [0.0000, 3.1622, 0.0042], [0.0000, 1.1051, 5.7955]], "species": ["Mg", "Hg", "Mg", "Zr"], "fractional_positions": [[0.0000, 0.8901, 0.9971], [0.5000, 0.7500, 0.7500], [0.0000, 0.6099, 0.5029], [0.5000, 0.2500, 0.2500]], "e_form_mev_per_atom": -50, "spacegroup": "No. 10"}

{"formula": "Pm2GeOs", "functional": "PBE", "state": "relaxed", "lattice_angstrom": [[4.9249, 0.0000, 0.0000], [0.0000, 9.1546, -0.0552], [-2.4625, -2.3322, 4.5961]], "species": ["Pm", "Pm", "Os", "Ge", "Pm", "Os", "Pm", "Ge"], "fractional_positions": [[0.7958, 0.4076, 0.6360], [0.2042, 0.5924, 0.3640], [0.1839, 0.2500, 0.0000], [0.3202, 0.7500, 0.0000], [0.1598, 0.0924, 0.3640], [0.8161, 0.7500, 0.0000], [0.8402, 0.9076, 0.6360], [0.6798, 0.2500, 0.0000]], "e_form_mev_per_atom": -217, "spacegroup": "No. 15"}

{"formula": "CsMn2TcAg", "functional": "PBE", "state": "relaxed", "lattice_angstrom": [[5.0539, 0.0000, 0.0000], [0.0000, 5.4890, 0.0000], [0.0000, 0.0000, 5.0539]], "species": ["Ag", "Tc", "Mn", "Mn", "Cs"], "fractional_positions": [[0.0000, 0.5000, 0.0000], [0.5000, 0.5000, 0.5000], [0.0000, 0.0000, 0.5000], [0.5000, 0.0000, 0.0000], [0.0000, 0.0000, 0.0000]], "e_form_mev_per_atom": 2737, "spacegroup": "No. 123"}

{"formula": "NpZnSi", "functional": "PBE", "state": "relaxed", "lattice_angstrom": [[2.5151, 0.0000, 0.0000], [0.0000, 4.6948, 0.0000], [0.0000, -2.3474, 4.0658]], "species": ["Zn", "Si", "Np"], "fractional_positions": [[0.1670, 0.6667, 0.3333], [0.1663, 0.0000, 0.0000], [0.6667, 0.3333, 0.6667]], "formation_energy_uncorrected_kj_per_mol_fu": 5, "spacegroup": "No. 187"}

{"formula": "SiAs2P", "functional": "PBE", "state": "relaxed", "lattice_angstrom": [[3.6469, 0.0000, 0.0000], [0.0000, 2.6060, 0.4201], [0.0000, 1.2841, 7.7136]], "species": ["P", "As", "As", "Si"], "fractional_positions": [[0.5000, 0.2500, 0.2500], [0.0000, 0.4947, 0.0021], [0.0000, 0.0053, 0.4979], [0.5000, 0.7500, 0.7500]], "formation_energy_uncorrected_kj_per_mol_fu": 81, "relative_energy_mev_per_atom": 104.0, "spacegroup": "No. 10"}

{"formula": "Si2BiAsH", "functional": "PBE", "state": "relaxed", "lattice_angstrom": [[-0.8599, 3.4530, 3.6169], [-2.8335, -1.9028, 1.1429], [3.0085, -2.5743, 3.1728]], "species": ["Si", "H", "Bi", "Si", "As"], "fractional_positions": [[0.5000, 0.0000, 0.0000], [0.0000, 0.5000, 0.0000], [0.5000, 0.5000, 0.5000], [0.0000, 0.0000, 0.5000], [0.0000, 0.0000, 0.0000]], "final_energy_ev_per_atom": -4.05, "spacegroup": "No. 123"}